# Sm4HgAu2

Crystalline Sm4HgAu2 at its relaxed geometry (PBE, the Alexandria database).

The space group is R-3m (No. 166, hexagonal axes) and the conventional cell measures 4.9807, 4.9807 and 29.1208 Å, with angles of 90.00, 90.00 and 120.00 degrees. The distinct sites, in fractional coordinates, are Sm at (0.0000, 0.0000, 0.1191), Sm at (0.0000, 0.0000, 0.2956), Hg at (0.0000, 0.0000, 0.5000) and Au at (0.0000, 0.0000, 0.3985).

The value obtained for the formation energy from the elements is -0.43 eV per atom.

***

# Sm3Hg4Au4

Crystalline Sm3Hg4Au4 at its relaxed geometry (PBE, the Alexandria database).

The space group is Immm (No. 71) and the conventional cell measures 3.9113, 7.9717 and 17.1227 Å, with angles of 90.00, 90.00 and 90.00 degrees. The distinct sites, in fractional coordinates, are Sm at (0.0000, 0.0000, 0.0000), Sm at (0.0000, 0.5000, 0.1138), Hg at (0.0000, 0.3136, 0.3410), Au at (0.0000, 0.0000, 0.2503) and Au at (0.0000, 0.1881, 0.5000).

The value obtained for the formation energy from the elements is -0.50 eV per atom.

***

# SmHg4Au2

Crystalline SmHg4Au2 at its relaxed geometry (PBE, the Alexandria database).

The space group is Cmmm (No. 65) and the conventional cell measures 4.2238, 18.5231 and 4.2717 Å, with angles of 90.00, 90.00 and 90.00 degrees. The distinct sites, in fractional coordinates, are Sm at (0.0000, 0.0000, 0.0000), Hg at (0.0000, 0.1829, 0.5000), Hg at (0.0000, 0.3212, 0.0000) and Au at (0.0000, 0.4280, 0.5000).

The value obtained for the formation energy from the elements is -0.22 eV per atom.

***

# SmHgAu2

Crystalline SmHgAu2 at its relaxed geometry (PBE, the Alexandria database).

The space group is Fm-3m (No. 225) and the conventional cell measures 7.0859, 7.0859 and 7.0859 Å, with angles of 90.00, 90.00 and 90.00 degrees. The distinct sites, in fractional coordinates, are Sm at (0.0000, 0.0000, 0.0000), Hg at (0.0000, 0.0000, 0.5000) and Au at (0.2500, 0.2500, 0.2500).

The value obtained for the formation energy from the elements is -0.58 eV per atom.

***

# Sm4HgAu

Crystalline Sm4HgAu at its relaxed geometry (PBE, the Alexandria database).

The space group is P2_1/c (No. 14) and the conventional cell measures 7.3857, 7.6882 and 6.9525 Å, with angles of 90.00, 94.25 and 90.00 degrees. The distinct sites, in fractional coordinates, are Sm at (0.1555, 0.1516, 0.3891), Sm at (0.3399, 0.6634, 0.3306), Hg at (0.0000, 0.0000, 0.0000) and Au at (0.5000, 0.0000, 0.5000).

The value obtained for the formation energy from the elements is -0.23 eV per atom.

***

# Sm3HgAu

Crystalline Sm3HgAu at its relaxed geometry (PBE, the Alexandria database).

The space group is Cmcm (No. 63) and the conventional cell measures 5.2850, 19.8977 and 5.2782 Å, with angles of 90.00, 90.00 and 90.00 degrees. The distinct sites, in fractional coordinates, are Sm at (0.0000, 0.0630, 0.2500), Sm at (0.0000, 0.2491, 0.2500), Sm at (0.0000, 0.4342, 0.2500), Hg at (0.0000, 0.1534, 0.7500) and Au at (0.0000, 0.3407, 0.7500).

The value obtained for the formation energy from the elements is -0.48 eV per atom.

***

Number 1: calculated density 9.52 Mg/m³. Number 2: calculated density 12.70 Mg/m³. Number 3: calculated density 13.38 Mg/m³. Number 4: calculated density 13.91 Mg/m³. Number 5: calculated density 8.43 Mg/m³. Number 6: calculated density 10.16 Mg/m³.